The following is a PBE-GGA calculation of Np3AlSe6 after structural relaxation, from Alexandria.

a = 11.320 Å, b = 14.094 Å, c = 6.836 Å
α = 90.00°, β = 90.00°, γ = 90.00°
Space group Cmc2_1 (No. 36)
Unique sites:
Np 0.000 0.102 0.000 (multiplicity 4)
Np 0.179 0.401 0.076 (multiplicity 8)
Al 0.000 0.301 0.628 (multiplicity 4)
Se 0.000 0.283 0.277 (multiplicity 4)
Se 0.000 0.461 0.765 (multiplicity 4)
Se 0.162 0.026 0.289 (multiplicity 8)
Se 0.168 0.235 0.795 (multiplicity 8)

Computed properties:
Spin magnetization ... 16.458 μB per cell
VASP energy ... -294.89 eV per cell